Version a
Ba2LiO2 | PBE-GGA | relaxed

- Space group: P2_1/c (14)

Unit cell a=8.4171 b=6.5433 c=7.7422 alpha=90.00 beta=96.90 gamma=90.00
With the nearest neighbours (Å) after each atom.
Sites, in units of the cell vectors:
Ba 0.1084 0.1740 0.3402  3 O 2.70-2.77
Ba 0.1084 0.3260 0.8402  3 O 2.70-2.77
Ba 0.3323 0.6819 0.5132  4 O 2.63-2.91
Ba 0.3323 0.8181 0.0132  4 O 2.63-2.91
Ba 0.6677 0.1819 0.9868  4 O 2.63-2.91
Ba 0.6677 0.3181 0.4868  4 O 2.63-2.91
Ba 0.8916 0.6740 0.1598  3 O 2.70-2.77
Ba 0.8916 0.8260 0.6598  3 O 2.70-2.77
Li 0.3971 0.1075 0.6898  3 O 1.92-1.97
Li 0.3971 0.3925 0.1898  3 O 1.92-1.97
Li 0.6029 0.6075 0.8102  3 O 1.92-1.97
Li 0.6029 0.8925 0.3102  3 O 1.92-1.97
O 0.1863 0.5101 0.1504  1 Li 1.92
O 0.1863 0.9899 0.6504  1 Li 1.92
O 0.4419 0.1038 0.2359  2 Li 1.95-1.97
O 0.4419 0.3962 0.7359  2 Li 1.95-1.97
O 0.5581 0.6038 0.2641  2 Li 1.95-1.97
O 0.5581 0.8962 0.7641  2 Li 1.95-1.97
O 0.8137 0.0101 0.3496  1 Li 1.92
O 0.8137 0.4899 0.8496  1 Li 1.92



Version b
Ba2LiO2 | PBE-GGA | relaxed

- Space group: I4/mmm (139)

Unit cell a=7.7024 b=7.7024 c=7.7024 alpha=143.60 beta=143.60 gamma=52.43
With the nearest neighbours (Å) after each atom.
Sites, in units of the cell vectors:
Ba 0.1807 0.1807 0.0000  4 O 2.59
Ba 0.8193 0.8193 0.0000  4 O 2.59
Li 0.5000 0.5000 0.0000  8 O 4.21, 10 Ba 4.22-4.41
O 0.2500 0.7500 0.5000  4 Ba 2.59
O 0.7500 0.2500 0.5000  4 Ba 2.59



Version c
Ba2LiO2 | PBE-GGA | relaxed

- Space group: P4/mbm (127)

Unit cell a=7.4120 b=7.4120 c=3.7093 alpha=90.00 beta=90.00 gamma=90.00
With the nearest neighbours (Å) after each atom.
Sites, in units of the cell vectors:
Ba 0.1584 0.3416 0.0000  2 O 2.61
Ba 0.3416 0.8416 0.0000  2 O 2.61
Ba 0.6584 0.1584 0.0000  2 O 2.61
Ba 0.8416 0.6584 0.0000  2 O 2.61
Li 0.0000 0.0000 0.5000  4 O 2.76
Li 0.5000 0.5000 0.5000  4 O 2.76
O 0.1662 0.6662 0.5000  2 Ba 2.61, 2 Li 2.76
O 0.3338 0.1662 0.5000  2 Ba 2.61, 2 Li 2.76
O 0.6662 0.8338 0.5000  2 Ba 2.61, 2 Li 2.76
O 0.8338 0.3338 0.5000  2 Ba 2.61, 2 Li 2.76



Version d
Ba2LiO2 | PBE-GGA | relaxed

- Space group: I4/mmm (139)

Unit cell a=6.2458 b=6.2458 c=6.2458 alpha=130.34 beta=130.34 gamma=72.86
With the nearest neighbours (Å) after each atom.
Sites, in units of the cell vectors:
Ba 0.2500 0.7500 0.5000  4 O 2.70
Ba 0.7500 0.2500 0.5000  4 O 2.70
Li 0.0000 0.0000 0.0000  2 O 1.86
O 0.1846 0.1846 0.0000  1 Li 1.86
O 0.8154 0.8154 0.0000  1 Li 1.86



Computed relative energies in units of eV/atom: version a 0.025; version b 0.318; version c 0.233; version d 0.000



Version a
Ba3LiRu2O9 | PBE-GGA | relaxed

- Space group: P6_3/mmc (194)

Unit cell a=5.8630 b=5.8630 c=14.4031 alpha=90.00 beta=90.00 gamma=120.00
With the nearest neighbours (Å) after each atom.
Sites, in units of the cell vectors:
Ba 0.0000 0.0000 0.2500  12 O 2.94-2.95
Ba 0.0000 0.0000 0.7500  12 O 2.94-2.95
Ba 0.3333 0.6667 0.0895  12 O 2.93-3.00
Ba 0.3333 0.6667 0.4105  12 O 2.93-3.00
Ba 0.6667 0.3333 0.5895  12 O 2.93-3.00
Ba 0.6667 0.3333 0.9105  12 O 2.93-3.00
Li 0.0000 0.0000 0.0000  6 O 2.15
Li 0.0000 0.0000 0.5000  6 O 2.15
Ru 0.3333 0.6667 0.6525  6 O 1.88-2.07
Ru 0.3333 0.6667 0.8475  6 O 1.88-2.07
Ru 0.6667 0.3333 0.1525  6 O 1.88-2.07
Ru 0.6667 0.3333 0.3475  6 O 1.88-2.07
O 0.0330 0.5165 0.7500  2 Ru 2.07
O 0.1738 0.3476 0.5857  1 Ru 1.88
O 0.1738 0.3476 0.9143  1 Ru 1.88
O 0.1738 0.8262 0.5857  1 Ru 1.88
O 0.1738 0.8262 0.9143  1 Ru 1.88
O 0.3476 0.1738 0.0857  1 Ru 1.88
O 0.3476 0.1738 0.4143  1 Ru 1.88
O 0.4835 0.5165 0.7500  2 Ru 2.07
O 0.4835 0.9670 0.7500  2 Ru 2.07
O 0.5165 0.0330 0.2500  2 Ru 2.07
O 0.5165 0.4835 0.2500  2 Ru 2.07
O 0.6524 0.8262 0.5857  1 Ru 1.88
O 0.6524 0.8262 0.9143  1 Ru 1.88
O 0.8262 0.1738 0.0857  1 Ru 1.88
O 0.8262 0.1738 0.4143  1 Ru 1.88
O 0.8262 0.6524 0.0857  1 Ru 1.88
O 0.8262 0.6524 0.4143  1 Ru 1.88
O 0.9670 0.4835 0.2500  2 Ru 2.07



Version b
Ba3LiRu2O9 | PBE-GGA | relaxed

- Space group: P-3m1 (164)

Unit cell a=5.7569 b=5.7569 c=7.0806 alpha=90.00 beta=90.00 gamma=120.00
With the nearest neighbours (Å) after each atom.
Sites, in units of the cell vectors:
Ba 0.0000 0.0000 0.0000  12 O 2.86-2.88
Ba 0.3333 0.6667 0.6577  12 O 2.87-2.94
Ba 0.6667 0.3333 0.3423  12 O 2.87-2.94
Li 0.0000 0.0000 0.5000  6 O 2.17
Ru 0.3333 0.6667 0.1663  6 O 1.90-2.04
Ru 0.6667 0.3333 0.8337  6 O 1.90-2.04
O 0.0000 0.5000 0.0000  2 Ru 2.04
O 0.1759 0.3518 0.3185  1 Ru 1.90
O 0.1759 0.8241 0.3185  1 Ru 1.90
O 0.3518 0.1759 0.6815  1 Ru 1.90
O 0.5000 0.0000 0.0000  2 Ru 2.04
O 0.5000 0.5000 0.0000  2 Ru 2.04
O 0.6482 0.8241 0.3185  1 Ru 1.90
O 0.8241 0.1759 0.6815  1 Ru 1.90
O 0.8241 0.6482 0.6815  1 Ru 1.90



Computed relative energies in units of eV/atom: version a 0.000; version b 0.017



Version a
Ba2LiTbSnO6 | PBE-GGA | relaxed

- Space group: R3m (160)

Unit cell a=6.4798 b=6.4798 c=6.4798 alpha=55.31 beta=55.31 gamma=55.31
With the nearest neighbours (Å) after each atom.
Sites, in units of the cell vectors:
Ba 0.0000 0.0000 0.0000  1 Li 2.65, 3 O 2.66
Ba 0.4469 0.4469 0.4469  9 O 3.01-3.02
Li 0.8384 0.8384 0.8384  3 O 1.88
Tb 0.2130 0.2130 0.2130  6 O 2.22-2.38
Sn 0.6945 0.6945 0.6945  6 O 2.03-2.24
O 0.4637 0.4637 0.9630  1 Sn 2.03, 1 Tb 2.22
O 0.4637 0.9630 0.4637  1 Sn 2.03, 1 Tb 2.22
O 0.4657 0.9455 0.9455  1 Li 1.88
O 0.9455 0.4657 0.9455  1 Li 1.88
O 0.9455 0.9455 0.4657  1 Li 1.88
O 0.9630 0.4637 0.4637  1 Sn 2.03, 1 Tb 2.22



Version b
Ba2LiTbSnO6 | PBE-GGA | relaxed

- Space group: R3m (160)

Unit cell a=6.4722 b=6.4722 c=6.4722 alpha=55.23 beta=55.23 gamma=55.23
With the nearest neighbours (Å) after each atom.
Sites, in units of the cell vectors:
Ba 0.0000 0.0000 0.0000  9 O 2.93-3.01
Ba 0.4714 0.4714 0.4714  1 Li 2.65, 3 O 2.68
Li 0.6332 0.6332 0.6332  3 O 1.91
Tb 0.7827 0.7827 0.7827  3 O 2.15
Sn 0.2636 0.2636 0.2636  6 O 2.07-2.18
O 0.0168 0.5104 0.5104  1 Li 1.91
O 0.0280 0.0280 0.5164  1 Sn 2.07, 1 Tb 2.15
O 0.0280 0.5164 0.0280  1 Sn 2.07, 1 Tb 2.15
O 0.5104 0.0168 0.5104  1 Li 1.91
O 0.5104 0.5104 0.0168  1 Li 1.91
O 0.5164 0.0280 0.0280  1 Sn 2.07, 1 Tb 2.15



Computed relative energies in units of eV/atom: version a 0.000; version b 0.022



Version a
Ba4LiTa3O12 | PBE-GGA | relaxed

- Space group: Im-3m (229)

Unit cell a=7.1906 b=7.1906 c=7.1906 alpha=109.47 beta=109.47 gamma=109.47
With the nearest neighbours (Å) after each atom.
Sites, in units of the cell vectors:
Ba 0.0000 0.0000 0.5000  12 O 2.94
Ba 0.0000 0.5000 0.0000  12 O 2.94
Ba 0.5000 0.0000 0.0000  12 O 2.94
Ba 0.5000 0.5000 0.5000  12 O 2.94
Li 0.0000 0.0000 0.0000  6 O 2.22
Ta 0.0000 0.5000 0.5000  6 O 1.93-2.08
Ta 0.5000 0.0000 0.5000  6 O 1.93-2.08
Ta 0.5000 0.5000 0.0000  6 O 1.93-2.08
O 0.0000 0.2678 0.2678  1 Ta 1.93
O 0.0000 0.7322 0.7322  1 Ta 1.93
O 0.2500 0.5000 0.7500  2 Ta 2.08
O 0.2500 0.7500 0.5000  2 Ta 2.08
O 0.2678 0.0000 0.2678  1 Ta 1.93
O 0.2678 0.2678 0.0000  1 Ta 1.93
O 0.5000 0.2500 0.7500  2 Ta 2.08
O 0.5000 0.7500 0.2500  2 Ta 2.08
O 0.7322 0.0000 0.7322  1 Ta 1.93
O 0.7322 0.7322 0.0000  1 Ta 1.93
O 0.7500 0.2500 0.5000  2 Ta 2.08
O 0.7500 0.5000 0.2500  2 Ta 2.08



Version b
Ba4LiTa3O12 | PBE-GGA | relaxed

- Space group: P6_3mc (186)

Unit cell a=5.8626 b=5.8626 c=19.3561 alpha=90.00 beta=90.00 gamma=120.00
With the nearest neighbours (Å) after each atom.
Sites, in units of the cell vectors:
Ba 0.0000 0.0000 0.0000  12 O 2.84-2.95, 1 Li 3.16
Ba 0.0000 0.0000 0.5000  12 O 2.84-2.95, 1 Li 3.16
Ba 0.3333 0.6667 0.1420  9 O 2.81-2.98
Ba 0.3333 0.6667 0.3665  12 O 2.80-2.99
Ba 0.3333 0.6667 0.7451  12 O 2.94-3.03
Ba 0.6667 0.3333 0.2451  12 O 2.94-3.03
Ba 0.6667 0.3333 0.6420  9 O 2.81-2.98
Ba 0.6667 0.3333 0.8665  12 O 2.80-2.99
Li 0.0000 0.0000 0.1632  3 O 2.00
Li 0.0000 0.0000 0.6632  3 O 2.00
Ta 0.0000 0.0000 0.3069  3 O 1.90
Ta 0.0000 0.0000 0.8069  3 O 1.90
Ta 0.3333 0.6667 0.5628  3 O 1.91
Ta 0.3333 0.6667 0.9364  6 O 2.01-2.03
Ta 0.6667 0.3333 0.0628  3 O 1.91
Ta 0.6667 0.3333 0.4364  6 O 2.01-2.03
O 0.0029 0.5014 0.9935  2 Ta 2.01-2.17
O 0.1587 0.3174 0.2548  1 Ta 1.90
O 0.1587 0.8413 0.2548  1 Ta 1.90
O 0.1695 0.3389 0.8759  2 Ta 2.03-2.18
O 0.1695 0.8305 0.8759  2 Ta 2.03-2.18
O 0.1738 0.3476 0.6147  1 Ta 1.91, 1 Li 2.00
O 0.1738 0.8262 0.6147  1 Ta 1.91, 1 Li 2.00
O 0.3174 0.1587 0.7548  1 Ta 1.90
O 0.3389 0.1695 0.3759  2 Ta 2.03-2.18
O 0.3476 0.1738 0.1147  1 Ta 1.91, 1 Li 2.00
O 0.4986 0.5014 0.9935  2 Ta 2.01-2.17
O 0.4986 0.9971 0.9935  2 Ta 2.01-2.17
O 0.5014 0.0029 0.4935  2 Ta 2.01-2.17
O 0.5014 0.4986 0.4935  2 Ta 2.01-2.17
O 0.6524 0.8262 0.6147  1 Ta 1.91, 1 Li 2.00
O 0.6611 0.8305 0.8759  2 Ta 2.03-2.18
O 0.6826 0.8413 0.2548  1 Ta 1.90
O 0.8262 0.1738 0.1147  1 Ta 1.91, 1 Li 2.00
O 0.8262 0.6524 0.1147  1 Ta 1.91, 1 Li 2.00
O 0.8305 0.1695 0.3759  2 Ta 2.03-2.18
O 0.8305 0.6611 0.3759  2 Ta 2.03-2.18
O 0.8413 0.1587 0.7548  1 Ta 1.90
O 0.8413 0.6826 0.7548  1 Ta 1.90
O 0.9971 0.4986 0.4935  2 Ta 2.01-2.17



Computed relative energies in units of eV/atom: version a 0.042; version b 0.000